Compound: ErNpSi4
Source: the Alexandria database
Functional: PBE
Structure: relaxed

Cell: 6.999 3.830 8.134 Å, 90.00 90.00 90.00°
Fractional positions:
Er  0.250  0.000  0.124
Er  0.750  0.000  0.876
Np  0.250  0.000  0.629
Np  0.750  0.000  0.371
Si  0.082  0.500  0.874
Si  0.084  0.500  0.376
Si  0.416  0.500  0.376
Si  0.418  0.500  0.874
Si  0.582  0.500  0.126
Si  0.584  0.500  0.624
Si  0.916  0.500  0.624
Si  0.918  0.500  0.126

Summary:
D(E_F): 15.94 states/eV/cell
energy: -6.94 eV per atom
total moment: 3.59 μB per formula unit
crystal system: orthorhombic

=====

Compound: Nb2HgB
Source: the Alexandria database
Functional: PBE
Structure: relaxed

Cell: 4.800 4.933 5.830 Å, 108.13 90.50 102.63°
Fractional positions:
Nb  0.130  0.099  0.219
Nb  0.260  0.522  0.883
Nb  0.740  0.478  0.117
Nb  0.870  0.901  0.781
Hg  0.304  0.710  0.446
Hg  0.696  0.290  0.554
B  0.402  0.037  0.890
B  0.598  0.963  0.110

Summary:
excess energy over the best structure of this formula in the dataset: 254.1 meV per atom
D(E_F): 3.90 states/eV/cell
energy: -6.79 eV per atom
ΔH_f (0 K): -11.5 meV/atom
total moment: 0.00 μB per formula unit
crystal system: triclinic

=====

Compound: Ca5PmTe6
Source: the Alexandria database
Functional: PBE
Structure: relaxed

Cell: 7.799 7.799 7.806 Å, 99.60 99.60 119.98°
Fractional positions:
Ca  0.000  0.000  0.000
Ca  0.167  0.833  0.500
Ca  0.333  0.667  0.000
Ca  0.667  0.333  0.000
Ca  0.833  0.167  0.500
Pm  0.500  0.500  0.500
Te  0.084  0.417  0.250
Te  0.251  0.251  0.750
Te  0.417  0.084  0.250
Te  0.583  0.916  0.750
Te  0.749  0.749  0.250
Te  0.916  0.583  0.750

Summary:
D(E_F): 3.81 states/eV/cell
energy: -4.39 eV per atom
total moment: 0.00 μB per formula unit
crystal system: monoclinic

=====

Compound: DyUZn17
Source: the Alexandria database
Functional: PBE
Structure: relaxed

Cell: 6.787 6.787 6.787 Å, 82.74 82.74 82.74°
Fractional positions:
Dy  0.000  0.000  0.000
U  0.328  0.328  0.328
Zn  0.018  0.018  0.501
Zn  0.018  0.501  0.018
Zn  0.164  0.662  0.662
Zn  0.312  0.312  0.824
Zn  0.312  0.824  0.312
Zn  0.366  0.664  0.960
Zn  0.366  0.960  0.664
Zn  0.501  0.018  0.018
Zn  0.563  0.563  0.563
Zn  0.662  0.164  0.662
Zn  0.662  0.662  0.164
Zn  0.664  0.366  0.960
Zn  0.664  0.960  0.366
Zn  0.764  0.764  0.764
Zn  0.824  0.312  0.312
Zn  0.960  0.366  0.664
Zn  0.960  0.664  0.366

Summary:
D(E_F): 10.51 states/eV/cell
energy: -2.12 eV per atom
ΔH_f (0 K): -139.4 meV/atom
total moment: 2.87 μB per formula unit
crystal system: trigonal

=====

Compound: K2Ca2Au
Source: the Alexandria database
Functional: PBE
Structure: relaxed

Cell: 11.003 11.003 11.003 Å, 156.91 156.91 32.88°
Fractional positions:
K  0.250  0.750  0.500
K  0.750  0.250  0.500
Ca  0.077  0.077  0.000
Ca  0.923  0.923  0.000
Au  0.500  0.500  0.000

Summary:
excess energy over the best structure of this formula in the dataset: 361.8 meV per atom
D(E_F): 4.58 states/eV/cell
energy: -1.65 eV per atom
ΔH_f (0 K): 248.1 meV/atom
total moment: 0.00 μB per formula unit
crystal system: tetragonal

=====

Compound: Na4Tl3CdO8
Source: the Alexandria database
Functional: PBE
Structure: relaxed

Cell: 6.822 6.822 6.822 Å, 59.72 59.72 59.72°
Fractional positions:
Na  0.000  0.000  0.000
Na  0.000  0.500  0.500
Na  0.500  0.000  0.500
Na  0.500  0.500  0.000
Tl  0.000  0.000  0.500
Tl  0.000  0.500  0.000
Tl  0.500  0.000  0.000
Cd  0.500  0.500  0.500
O  0.240  0.742  0.742
O  0.242  0.242  0.242
O  0.258  0.258  0.760
O  0.258  0.760  0.258
O  0.742  0.240  0.742
O  0.742  0.742  0.240
O  0.758  0.758  0.758
O  0.760  0.258  0.258

Summary:
D(E_F): 11.59 states/eV/cell
energy: -4.35 eV per atom
total moment: 1.15 μB per formula unit
crystal system: trigonal